Computed, not measured: an optimized crystal structure of Li2Ti3NiO8 at the GGA+U level of DFT.

POSCAR file:
```
Li2Ti3NiO8
1.0
5.930 0.000 0.000
-2.965 5.136 0.000
0.000 0.000 9.700
Li Ti Ni O
4 6 2 16
Direct
0.000 0.000 0.000
0.000 0.000 0.500
0.333 0.667 0.108
0.667 0.333 0.608
0.169 0.337 0.784
0.169 0.831 0.784
0.337 0.169 0.284
0.663 0.831 0.784
0.831 0.169 0.284
0.831 0.663 0.284
0.333 0.667 0.509
0.667 0.333 0.009
0.000 0.000 0.184
0.000 0.000 0.684
0.036 0.518 0.669
0.159 0.318 0.392
0.159 0.841 0.392
0.318 0.159 0.892
0.333 0.667 0.895
0.482 0.518 0.669
0.482 0.964 0.669
0.518 0.036 0.169
0.518 0.482 0.169
0.667 0.333 0.395
0.682 0.841 0.392
0.841 0.159 0.892
0.841 0.682 0.892
0.964 0.482 0.169
```

polymorph energy (0 for the lowest one) = 27 meV per atom
V = 10.6 Å³ per atom
M_tot = 2.00 μB per formula unit
SG = No. 186
raw total energy = -210.9 eV/cell